[1]
Material: Ce6GeSe3S2
Method: DFT, GGA-PBE
State: relaxed

Structure (extended XYZ):
```
12
Lattice="9.065 -2.075 0.000 9.065 2.075 0.000 -1.973 0.000 8.076" Properties=species:S:1:pos:R:3 pbc="T T T"
Ce -0.415 0.000 2.022
Ce 5.146 0.000 3.436
Ce 4.257 0.000 7.320
Ce 11.900 0.000 0.757
Ce 11.011 0.000 4.640
Ce 16.572 0.000 6.054
Ge 9.065 0.000 0.000
Se 1.349 0.000 6.721
Se 8.079 0.000 4.038
Se 14.808 0.000 1.355
S 2.379 0.000 2.699
S 13.778 0.000 5.377
```

Calculated values
**Space group**: C2/m
**ΔE_f (raw)**: -1.718 eV/atom
**Density of states at the Fermi level**: 2.737 states/eV/atom
**E**: -79.54 eV/f.u.


[2]
Material: Fe2ReIrAu
Method: DFT, GGA-PBE
State: relaxed

Structure (extended XYZ):
```
5
Lattice="4.543 0.000 0.000 0.000 4.543 0.000 0.000 0.000 5.027" Properties=species:S:1:pos:R:3 pbc="T T T"
Fe 0.000 2.271 0.000
Fe 2.271 0.000 0.000
Re 0.000 0.000 2.514
Ir 2.271 2.271 0.000
Au 2.271 2.271 2.514
```

Calculated values
**Space group**: P4/mmm
**Calculated formation energy**: 44.64 kcal/mol of atoms
**Density of states at the Fermi level**: 1.271 states/eV/atom
**E**: -31.83 eV/f.u.


[3]
Material: LiCe2Pu
Method: DFT, GGA-PBE
State: relaxed

Structure (extended XYZ):
```
4
Lattice="0.000 3.649 3.649 3.649 0.000 3.649 3.649 3.649 0.000" Properties=species:S:1:pos:R:3 pbc="T T T"
Li 0.000 0.000 0.000
Ce 1.824 1.824 1.824
Ce 5.473 5.473 5.473
Pu 3.649 3.649 3.649
```

Calculated values
**Space group**: Fm-3m
**Calculated formation energy**: 4.00 kcal/mol of atoms
**Density of states at the Fermi level**: 1.328 states/eV/atom
**Energy above the lowest structure with this stoichiometry**: 0.019 eV per atom
**E**: -27.42 eV/f.u.


[4]
Material: ZrCu3F
Method: DFT, GGA-PBE
State: relaxed

Structure (extended XYZ):
```
5
Lattice="4.239 0.000 0.000 0.000 4.239 0.000 0.000 0.000 4.239" Properties=species:S:1:pos:R:3 pbc="T T T"
Zr 0.000 0.000 0.000
Cu 0.000 2.120 2.120
Cu 2.120 0.000 2.120
Cu 2.120 2.120 0.000
F 2.120 2.120 2.120
```

Calculated values
**Space group**: Pm-3m
**ΔE_f (raw)**: 0.216 eV/atom
**Density of states at the Fermi level**: 1.561 states/eV/atom
**Energy above the lowest structure with this stoichiometry**: 0.000 eV per atom
**E**: -21.63 eV/f.u.


Question: Among the records above, which one has the highest density of states at the Fermi level?
Answer: Ce6GeSe3S2


Question: Among the records above, which one has the highest E?
Answer: ZrCu3F


Question: What is the density of states at the Fermi level in the first record?
Answer: 2.737 states/eV/atom


Question: The highest density of states at the Fermi level belongs to which entry?
Answer: Ce6GeSe3S2